Entry 1:
First-principles (PBE-GGA) data for crystalline SmSc2Bi3 at its relaxed geometry, as listed in Alexandria via LeMat-Bulk.

POSCAR file:
```
SmSc2Bi3
1.0
-1.069 4.098 1.153
-4.213 -0.849 -0.893
1.357 -4.409 8.577
Sm Sc Bi
1 2 3
Direct
0.434 0.436 0.874
0.099 0.100 0.204
0.769 0.771 0.544
0.934 0.936 0.874
0.262 0.263 0.529
0.607 0.608 0.219
```


Entry 2:
First-principles (PBE-GGA) data for crystalline TbSm2Sc3Bi6 at its relaxed geometry, as listed in Alexandria via LeMat-Bulk.

POSCAR file:
```
TbSm2Sc3Bi6
1.0
7.639 -0.003 0.000
-3.820 6.615 0.000
-1.275 -2.207 7.171
Tb Sm Sc Bi
1 2 3 6
Direct
0.000 0.000 0.000
0.334 0.666 0.000
0.666 0.334 0.000
0.168 0.832 0.500
0.832 0.168 0.500
0.500 0.500 0.500
0.911 0.580 0.732
0.760 0.760 0.270
0.089 0.420 0.268
0.580 0.911 0.732
0.240 0.240 0.730
0.420 0.089 0.268
```


Entry 3:
First-principles (PBE-GGA) data for crystalline Tb2SmSc3Bi6 at its relaxed geometry, as listed in Alexandria via LeMat-Bulk.

POSCAR file:
```
Tb2SmSc3Bi6
1.0
-1.085 -4.251 6.226
5.753 -1.576 -4.737
2.711 6.315 3.232
Tb Sm Sc Bi
2 1 3 6
Direct
0.333 0.667 0.000
0.667 0.333 0.000
0.000 0.000 0.000
0.165 0.835 0.500
0.835 0.165 0.500
0.500 0.500 0.500
0.911 0.575 0.732
0.753 0.753 0.266
0.089 0.425 0.268
0.575 0.911 0.732
0.247 0.247 0.734
0.425 0.089 0.268
```


Result set for final energy: -5.554; -5.474; -5.460 eV per atom, one per record in the order listed.
Result set for magnetization: 0.00; 0.00; 0.00 μB/cell, one per record in the order listed.